DFT (GGA-PBE) results for crystalline ZrTa2Si at its relaxed geometry.

Cell: 2.900 2.900 8.629 Å, 90.00 90.00 90.00°
Atoms (fractional coordinates):
Zr (0.000, 0.000, 0.000)
Ta (0.000, 0.000, 0.452)
Ta (0.500, 0.500, 0.723)
Si (0.500, 0.500, 0.238)

## Properties
The formation energy (no corrections) comes out at -56 meV/atom. The value obtained for the total magnetic moment is 0.000 μB/cell.

DFT (GGA-PBE) results for crystalline ZrTa3Si at its relaxed geometry.

Cell: 4.698 4.698 4.698 Å, 90.00 90.00 90.00°
Atoms (fractional coordinates):
Zr (0.000, 0.000, 0.000)
Ta (0.000, 0.500, 0.500)
Ta (0.500, 0.000, 0.500)
Ta (0.500, 0.500, 0.000)
Si (0.500, 0.500, 0.500)

## Properties
The polymorph energy (0 for the lowest one) comes out at 0 kJ/mol of formula units. The formation energy (no corrections) comes out at 509 meV/atom. The value obtained for the total magnetic moment is 0.000 μB/cell.

DFT (GGA-PBE) results for crystalline ZrTa4Si at its relaxed geometry.

Cell: 5.489 5.489 5.489 Å, 60.00 60.00 60.00°
Atoms (fractional coordinates):
Zr (0.000, 0.000, 0.000)
Ta (0.374, 0.374, 0.374)
Ta (0.374, 0.374, 0.878)
Ta (0.374, 0.878, 0.374)
Ta (0.878, 0.374, 0.374)
Si (0.750, 0.750, 0.750)

## Properties
The formation energy (no corrections) comes out at 340 meV/atom. The value obtained for the total magnetic moment is 0.000 μB/cell.

DFT (GGA-PBE) results for crystalline ZrTa3Si at its relaxed geometry.

Cell: 4.884 4.884 4.884 Å, 90.00 90.00 90.00°
Atoms (fractional coordinates):
Zr (0.000, 0.000, 0.000)
Ta (0.000, 0.000, 0.500)
Ta (0.000, 0.500, 0.000)
Ta (0.500, 0.000, 0.000)
Si (0.500, 0.500, 0.500)

## Properties
The polymorph energy (0 for the lowest one) comes out at 768 kJ/mol of formula units. The formation energy (no corrections) comes out at 2100 meV/atom. The value obtained for the total magnetic moment is 0.000 μB/cell.

DFT (GGA-PBE) results for crystalline ZrTa2Si at its relaxed geometry.

Cell: 2.962 2.962 8.595 Å, 90.00 90.00 105.33°
Atoms (fractional coordinates):
Zr (0.000, 0.000, 0.000)
Ta (0.500, 0.500, 0.285)
Ta (0.500, 0.500, 0.715)
Si (0.000, 0.000, 0.500)

## Properties
The formation energy (no corrections) comes out at -87 meV/atom. The value obtained for the total magnetic moment is 0.000 μB/cell.

DFT (GGA-PBE) results for crystalline ZrTa2Si at its relaxed geometry.

Cell: 2.896 2.896 8.630 Å, 90.00 90.00 90.00°
Atoms (fractional coordinates):
Zr (0.000, 0.000, 0.000)
Ta (0.500, 0.500, 0.288)
Ta (0.500, 0.500, 0.712)
Si (0.000, 0.000, 0.500)

## Properties
The formation energy (no corrections) comes out at 0 meV/atom. The value obtained for the total magnetic moment is 0.000 μB/cell.